VASP calculation (PBE) on an optimized crystal structure of Tb2Dy4ErSc.

Cell lengths 4.9636, 4.9663, 11.0688 Å; angles 63.35, 90.00, 90.00 degrees
Fractional positions:
Tb: 0.0000 0.0000 0.0000
Tb: 0.5000 0.0000 0.5000
Dy: 0.0000 0.2537 0.2456
Dy: 0.5000 0.2464 0.7543
Dy: 0.0000 0.7463 0.7544
Dy: 0.5000 0.7536 0.2457
Sc: 0.5000 0.5000 0.0000
Er: 0.0000 0.5000 0.5000

Calculated values
- Energy of formation from the pure elements: 0.030 eV per atom
- Total energy: -4.7905 eV/atom
- Total magnetic moment: 0.000 Bohr magnetons per cell

=====

VASP calculation (PBE) on an optimized crystal structure of Ho4ErAu2.

Cell lengths 4.9330, 4.9330, 10.2971 Å; angles 76.14, 76.14, 60.00 degrees
Fractional positions:
Au: 0.6009 0.6009 0.1972
Au: 0.3991 0.3991 0.8028
Er: 0.5000 0.5000 0.5000
Ho: 0.2982 0.2982 0.1054
Ho: 0.8976 0.8976 0.3072
Ho: 0.7018 0.7018 0.8946
Ho: 0.1024 0.1024 0.6928

Calculated values
- Energy of formation from the pure elements: -0.266 eV per atom
- Total energy: -4.4702 eV/atom
- Total magnetic moment: 0.000 Bohr magnetons per cell

=====

VASP calculation (PBE) on an optimized crystal structure of AcHgGe2Pt5.

Cell lengths 4.3990, 4.3990, 9.1119 Å; angles 90.00, 90.00, 90.00 degrees
Fractional positions:
Ge: 0.5000 0.5000 0.1340
Ge: 0.5000 0.5000 0.8660
Pt: 0.0000 0.5000 0.7408
Pt: 0.5000 0.0000 0.7408
Pt: 0.5000 0.5000 0.5000
Pt: 0.5000 0.0000 0.2592
Pt: 0.0000 0.5000 0.2592
Hg: 0.0000 0.0000 0.0000
Ac: 0.0000 0.0000 0.5000

Calculated values
- Energy of formation from the pure elements: -0.433 eV per atom
- Total energy: -5.3056 eV/atom
- Total magnetic moment: 0.000 Bohr magnetons per cell

=====

VASP calculation (PBE) on an optimized crystal structure of Hf5Sb.

Cell lengths 4.3198, 4.3427, 7.3618 Å; angles 107.15, 90.00, 90.00 degrees
Fractional positions:
Hf: 0.5000 0.5000 0.0000
Hf: 0.0000 0.3298 0.6595
Hf: 0.0000 0.6702 0.3405
Hf: 0.5000 0.8314 0.6627
Hf: 0.5000 0.1686 0.3373
Sb: 0.0000 0.0000 0.0000

Calculated values
- Formation energy without anion corrections: -0.18 eV per atom
- Total energy: -9.1585 eV/atom
- Total magnetic moment: 0.000 Bohr magnetons per cell
- Polymorph energy (0 for the lowest one): 14 meV/atom

=====

VASP calculation (PBE) on an optimized crystal structure of TaBe2In.

Cell lengths 4.6402, 4.6402, 5.1971 Å; angles 82.63, 82.63, 35.73 degrees
Fractional positions:
Be: 0.9927 0.9927 0.0904
Be: 0.5073 0.5073 0.4096
In: 0.7500 0.7500 0.7500
Ta: 0.2500 0.2500 0.2500

Calculated values
- Energy of formation from the pure elements: 0.405 eV per atom
- Total energy: -5.1056 eV/atom
- Total magnetic moment: 0.000 Bohr magnetons per cell

=====

VASP calculation (PBE) on an optimized crystal structure of BeCrNi2I.

Cell lengths 4.6241, 4.6967, 4.6241 Å; angles 90.00, 90.00, 90.00 degrees
Last column: magnetic moment on the atom in μB.
Fractional positions:
I: 0.0000 0.0000 0.0000  0.03
Ni: 0.5000 0.0000 0.0000  0.06
Ni: 0.0000 0.0000 0.5000  0.04
Cr: 0.5000 0.5000 0.5000  4.01
Be: 0.0000 0.5000 0.0000  -0.09

Calculated values
- Formation energy without anion corrections: 1.49 eV per atom
- Total energy: -3.8030 eV/atom
- Total magnetic moment: 4.596 Bohr magnetons per cell

=====

VASP calculation (PBE) on an optimized crystal structure of YP2Br.

Cell lengths 3.4078, 3.4078, 8.1294 Å; angles 90.00, 90.00, 89.99 degrees
Last column: magnetic moment on the atom in μB.
Fractional positions:
P: 0.0000 0.0000 0.1326  0.00
P: 0.5000 0.5000 0.2247  0.00
Y: 0.0000 0.0000 0.4626  0.07
Br: 0.5000 0.5000 0.6801  0.00

Calculated values
- Formation energy without anion corrections: -0.69 eV per atom
- Total energy: -5.4277 eV/atom
- Total magnetic moment: 0.109 Bohr magnetons per cell
- Polymorph energy (0 for the lowest one): 216 meV/atom

=====

VASP calculation (PBE) on an optimized crystal structure of Pa3Te3S.

Cell lengths 7.4160, 7.4160, 7.8774 Å; angles 92.14, 92.14, 109.72 degrees
Last column: magnetic moment on the atom in μB.
Fractional positions:
Te: 0.7645 0.2355 0.0000  -0.04
Te: 0.2355 0.7645 0.0000  -0.04
Te: 0.3729 0.3729 0.6476  -0.03
Te: 0.8342 0.1658 0.5000  -0.03
Te: 0.1658 0.8342 0.5000  -0.03
Te: 0.6271 0.6271 0.3524  -0.03
Pa: 0.9538 0.9538 0.2045  1.08
Pa: 0.0462 0.0462 0.7955  1.08
Pa: 0.8320 0.5362 0.6917  1.19
Pa: 0.4638 0.1680 0.3083  1.19
Pa: 0.5362 0.8320 0.6917  1.19
Pa: 0.1680 0.4638 0.3083  1.19
S: 0.2481 0.2481 0.0680  -0.04
S: 0.7519 0.7519 0.9320  -0.04

Calculated values
- Formation energy without anion corrections: -0.80 eV per atom
- Total energy: -6.8009 eV/atom
- Total magnetic moment: 8.235 Bohr magnetons per cell
- Polymorph energy (0 for the lowest one): 224 meV/atom

=====

VASP calculation (PBE) on an optimized crystal structure of Pd2RhW.

Cell lengths 4.4147, 4.4147, 4.4147 Å; angles 60.00, 60.00, 60.00 degrees
Fractional positions:
Pd: 0.7500 0.7500 0.7500
Pd: 0.2500 0.2500 0.2500
W: 0.5000 0.5000 0.5000
Rh: 0.0000 0.0000 0.0000

Calculated values
- Energy of formation from the pure elements: 0.233 eV per atom
- Total energy: -7.4391 eV/atom
- Total magnetic moment: 0.000 Bohr magnetons per cell
- Polymorph energy (0 for the lowest one): 254 meV/atom

=====

VASP calculation (PBE) on an optimized crystal structure of TaCo3Si.

Cell lengths 4.1040, 4.1040, 4.1040 Å; angles 90.00, 90.00, 90.00 degrees
Last column: magnetic moment on the atom in μB.
Fractional positions:
Si: 0.0000 0.0000 0.0000  -0.02
Co: 0.0000 0.5000 0.0000  0.68
Co: 0.0000 0.0000 0.5000  0.46
Co: 0.5000 0.0000 0.0000  0.90
Ta: 0.5000 0.5000 0.5000  0.06

Calculated values
- Formation energy without anion corrections: 0.44 eV per atom
- Total energy: -7.2811 eV/atom
- Total magnetic moment: 2.083 Bohr magnetons per cell
- Polymorph energy (0 for the lowest one): 663 meV/atom

=====

VASP calculation (PBE) on an optimized crystal structure of Sm6HoIn3.

Cell lengths 7.8055, 9.4427, 9.4427 Å; angles 111.95, 90.00, 90.00 degrees
Fractional positions:
In: 0.3263 0.4534 0.5466
In: 0.8263 0.5466 0.4534
In: 0.9302 0.7199 0.9939
In: 0.4302 0.9939 0.7199
In: 0.9302 0.0061 0.2801
In: 0.4302 0.2801 0.0061
Sm: 0.7900 0.4538 0.0823
Sm: 0.2897 0.9547 0.0453
Sm: 0.1420 0.6936 0.3064
Sm: 0.1027 0.2936 0.2270
Sm: 0.2900 0.5462 0.9177
Sm: 0.7897 0.0453 0.9547
Sm: 0.2900 0.0823 0.4538
Sm: 0.6420 0.3064 0.6936
Sm: 0.6027 0.7064 0.7730
Sm: 0.1027 0.7730 0.7064
Sm: 0.7900 0.9177 0.5462
Sm: 0.6027 0.2270 0.2936
Ho: 0.5817 0.7996 0.2004
Ho: 0.0817 0.2004 0.7996

Calculated values
- Energy of formation from the pure elements: -0.140 eV per atom
- Total energy: -4.2507 eV/atom
- Total magnetic moment: 0.000 Bohr magnetons per cell
- Polymorph energy (0 for the lowest one): 123 meV/atom

=====

VASP calculation (PBE) on an optimized crystal structure of MnAlPt2.

Cell lengths 3.9259, 3.9259, 9.0533 Å; angles 77.48, 77.48, 90.00 degrees
Last column: magnetic moment on the atom in μB.
Fractional positions:
Mn: 0.7500 0.2500 0.5000  3.60
Mn: 0.0000 0.0000 0.0000  3.60
Al: 0.5000 0.5000 0.0000  -0.04
Al: 0.2500 0.7500 0.5000  -0.04
Pt: 0.8750 0.8714 0.7500  0.13
Pt: 0.6214 0.1250 0.2500  0.12
Pt: 0.3750 0.3786 0.7500  0.13
Pt: 0.1286 0.6250 0.2500  0.12

Calculated values
- Energy of formation from the pure elements: -0.219 eV per atom
- Total energy: -6.4671 eV/atom
- Total magnetic moment: 7.811 Bohr magnetons per cell

=====

Copy entry 10 word for word.
VASP calculation (PBE) on an optimized crystal structure of TaCo3Si.

Cell lengths 4.1040, 4.1040, 4.1040 Å; angles 90.00, 90.00, 90.00 degrees
Last column: magnetic moment on the atom in μB.
Fractional positions:
Si: 0.0000 0.0000 0.0000  -0.02
Co: 0.0000 0.5000 0.0000  0.68
Co: 0.0000 0.0000 0.5000  0.46
Co: 0.5000 0.0000 0.0000  0.90
Ta: 0.5000 0.5000 0.5000  0.06

Calculated values
- Formation energy without anion corrections: 0.44 eV per atom
- Total energy: -7.2811 eV/atom
- Total magnetic moment: 2.083 Bohr magnetons per cell
- Polymorph energy (0 for the lowest one): 663 meV/atom